<one>
Compound: YMnCr
Source: Alexandria via LeMat-Bulk
Functional: PBE-GGA
Structure: relaxed

Results
- M_tot (μB per cell) = 7.72
- density of states at the Fermi level (states/eV per cell) = 3.8

a = 4.7314 Å, b = 4.7314 Å, c = 4.7314 Å
α = 60.00°, β = 60.00°, γ = 60.00°
Last column: nearest neighbours and their distance in Å.
Positions (direct):
Y 0.0000 0.0000 0.0000  4 Mn 2.90, 4 Cr 2.90
Mn 0.7500 0.7500 0.7500  4 Y 2.90
Cr 0.2500 0.2500 0.2500  4 Y 2.90

***

<two>
Compound: YMnCr
Source: Alexandria via LeMat-Bulk
Functional: PBE-GGA
Structure: relaxed

Results
- M_tot (μB per cell) = 3.38
- density of states at the Fermi level (states/eV per cell) = 8.2

a = 6.4454 Å, b = 6.4454 Å, c = 4.4920 Å
α = 90.00°, β = 90.00°, γ = 120.00°
Last column: nearest neighbours and their distance in Å.
Positions (direct):
Y 0.0000 0.4166 0.0000  5 Mn 2.69-2.97
Y 0.4166 0.0000 0.0000  5 Mn 2.69-2.97
Y 0.5834 0.5834 0.0000  5 Mn 2.69-2.97
Mn 0.0000 0.0000 0.0000  3 Y 2.69, 6 Cr 2.72
Mn 0.3333 0.6667 0.5000  3 Cr 2.51
Mn 0.6667 0.3333 0.5000  3 Cr 2.51
Cr 0.0000 0.7608 0.5000  4 Mn 2.51-2.72, 2 Cr 2.67
Cr 0.2392 0.2392 0.5000  4 Mn 2.51-2.72, 2 Cr 2.67
Cr 0.7608 0.0000 0.5000  4 Mn 2.51-2.72, 2 Cr 2.67

***

Stability verdict: <two>, ahead by 1014 meV per atom